1.
## KCaI3 (PBE)

Data for an optimized crystal structure of KCaI3.

Lattice parameters (Å, degrees): 10.4107 4.6443 17.4845 90.00 90.00 90.00
Element x y z (fractional)
K1 0.0926 0.2500 0.1943
K2 0.4074 0.7500 0.6943
K3 0.5926 0.2500 0.3057
K4 0.9074 0.7500 0.8057
Ca1 0.1827 0.7500 0.4539
Ca2 0.3173 0.2500 0.9539
Ca3 0.6827 0.7500 0.0461
Ca4 0.8173 0.2500 0.5461
I1 0.0045 0.7500 0.6036
I2 0.1621 0.7500 0.0325
I3 0.1845 0.2500 0.7963
I4 0.3155 0.7500 0.2963
I5 0.3379 0.2500 0.5325
I6 0.4955 0.2500 0.1036
I7 0.5045 0.7500 0.8964
I8 0.6621 0.7500 0.4675
I9 0.6845 0.2500 0.7037
I10 0.8155 0.7500 0.2037
I11 0.8379 0.2500 0.9675
I12 0.9955 0.2500 0.3964

Values from the calculation:
The raw formation energy comes out at -7.8 eV/f.u. The total energy is -3.11 eV/atom.

2.
## K2CaI4 (PBE)

Data for an optimized crystal structure of K2CaI4.

Lattice parameters (Å, degrees): 9.9822 9.9822 9.9822 144.14 144.14 51.62
Element x y z (fractional)
K1 0.1372 0.1372 0.0000
K2 0.8628 0.8628 0.0000
Ca1 0.5000 0.5000 0.0000
I1 0.0000 0.5000 0.5000
I2 0.3280 0.3280 0.0000
I3 0.5000 0.0000 0.5000
I4 0.6720 0.6720 0.0000

Values from the calculation:
The raw formation energy comes out at -10.3 eV/f.u. The total energy is -2.96 eV/atom.

3.
## KCa3I (PBE)

Data for an optimized crystal structure of KCa3I.

Lattice parameters (Å, degrees): 6.9216 6.9216 6.9216 90.00 90.00 90.00
Element x y z (fractional)
K1 0.0000 0.0000 0.0000
Ca1 0.0000 0.0000 0.5000
Ca2 0.0000 0.5000 0.0000
Ca3 0.5000 0.0000 0.0000
I1 0.5000 0.5000 0.5000

Values from the calculation:
The raw formation energy comes out at 2.7 eV/f.u. The total energy is -1.18 eV/atom.

4.
## K3CaI (PBE)

Data for an optimized crystal structure of K3CaI.

Lattice parameters (Å, degrees): 6.8205 6.8205 6.8205 90.00 90.00 90.00
Element x y z (fractional)
K1 0.0000 0.0000 0.5000
K2 0.0000 0.5000 0.0000
K3 0.5000 0.0000 0.0000
Ca1 0.5000 0.5000 0.5000
I1 0.0000 0.0000 0.0000

Values from the calculation:
The raw formation energy comes out at -1.7 eV/f.u. The total energy is -1.70 eV/atom.

5.
## KCaI3 (PBE)

Data for an optimized crystal structure of KCaI3.

Lattice parameters (Å, degrees): 6.2324 6.2324 6.2324 90.00 90.00 90.00
Element x y z (fractional)
K1 0.0000 0.0000 0.0000
Ca1 0.5000 0.5000 0.5000
I1 0.0000 0.0000 0.5000
I2 0.0000 0.5000 0.0000
I3 0.5000 0.0000 0.0000

Values from the calculation:
The raw formation energy comes out at -3.9 eV/f.u. The total energy is -2.32 eV/atom.

6.
## K2Ca2I (PBE)

Data for an optimized crystal structure of K2Ca2I.

Lattice parameters (Å, degrees): 8.5301 8.5301 7.2782 90.00 90.00 90.00
Element x y z (fractional)
K1 0.1644 0.3356 0.0000
K2 0.3356 0.8356 0.0000
K3 0.6644 0.1644 0.0000
K4 0.8356 0.6644 0.0000
Ca1 0.1545 0.6545 0.5000
Ca2 0.3455 0.1545 0.5000
Ca3 0.6545 0.8455 0.5000
Ca4 0.8455 0.3455 0.5000
I1 0.0000 0.0000 0.5000
I2 0.5000 0.5000 0.5000

Values from the calculation:
The raw formation energy comes out at -1.1 eV/f.u. The total energy is -1.78 eV/atom.

7.
## KCaLaI6 (PBE)

Data for an optimized crystal structure of KCaLaI6.

Lattice parameters (Å, degrees): 8.1633 8.1633 15.4563 90.00 90.00 120.00
Element x y z (fractional)
K1 0.0000 0.0000 0.0000
K2 0.0000 0.0000 0.5000
Ca1 0.3333 0.6667 0.2500
Ca2 0.6667 0.3333 0.7500
La1 0.3333 0.6667 0.7500
La2 0.6667 0.3333 0.2500
I1 0.0027 0.3671 0.1323
I2 0.0027 0.6356 0.3677
I3 0.3644 0.3671 0.3677
I4 0.3644 0.9973 0.1323
I5 0.3671 0.0027 0.6323
I6 0.3671 0.3644 0.8677
I7 0.6329 0.6356 0.1323
I8 0.6329 0.9973 0.3677
I9 0.6356 0.0027 0.8677
I10 0.6356 0.6329 0.6323
I11 0.9973 0.3644 0.6323
I12 0.9973 0.6329 0.8677

Values from the calculation:
The raw formation energy comes out at -13.9 eV/f.u. The total energy is -3.47 eV/atom.

8.
## KLiCa2I6 (PBE)

Data for an optimized crystal structure of KLiCa2I6.

Lattice parameters (Å, degrees): 8.6227 8.6227 8.6227 55.94 55.94 55.94
Element x y z (fractional)
K1 0.0000 0.0000 0.0000
Li1 0.5210 0.5210 0.5210
Ca1 0.1955 0.1955 0.1955
Ca2 0.7061 0.7061 0.7061
I1 0.1103 0.4406 0.7891
I2 0.3408 0.9209 0.5600
I3 0.4406 0.7891 0.1103
I4 0.5600 0.3408 0.9209
I5 0.7891 0.1103 0.4406
I6 0.9209 0.5600 0.3408

Values from the calculation:
The raw formation energy comes out at -14.7 eV/f.u. The total energy is -3.10 eV/atom.

9.
## K2LiCaI5 (PBE)

Data for an optimized crystal structure of K2LiCaI5.

Lattice parameters (Å, degrees): 10.5882 10.5882 15.3140 90.00 90.00 154.45
Element x y z (fractional)
K1 0.1006 0.8994 0.5000
K2 0.1249 0.8751 0.1540
K3 0.8751 0.1249 0.6540
K4 0.8994 0.1006 0.0000
Li1 0.4368 0.5632 0.2644
Li2 0.5632 0.4368 0.7644
Ca1 0.2083 0.7917 0.8581
Ca2 0.7917 0.2083 0.3581
I1 0.0558 0.9442 0.8631
I2 0.2842 0.7158 0.4994
I3 0.3032 0.6968 0.2170
I4 0.3577 0.6423 0.8346
I5 0.4994 0.5006 0.1084
I6 0.5006 0.4994 0.6084
I7 0.6423 0.3577 0.3346
I8 0.6968 0.3032 0.7170
I9 0.7158 0.2842 0.9994
I10 0.9442 0.0558 0.3631

Values from the calculation:
The raw formation energy comes out at -13.2 eV/f.u. The total energy is -3.01 eV/atom.

10.
## KCa2MnI8 (PBE)

Data for an optimized crystal structure of KCa2MnI8.

Lattice parameters (Å, degrees): 7.1064 9.3457 7.7676 90.00 93.70 90.00
Element x y z (fractional)
K1 0.0000 0.0000 0.0000
Ca1 0.5000 0.2646 0.5000
Ca2 0.5000 0.7354 0.5000
Mn1 0.0000 0.5000 0.0000
I1 0.2316 0.2997 0.1417
I2 0.2316 0.7003 0.1417
I3 0.2506 0.5000 0.6587
I4 0.3247 0.0000 0.6852
I5 0.6753 0.0000 0.3148
I6 0.7494 0.5000 0.3413
I7 0.7684 0.2997 0.8583
I8 0.7684 0.7003 0.8583

Values from the calculation:
The raw formation energy comes out at -13.0 eV/f.u. The total energy is -3.31 eV/atom.

11.
## KCaMn2I8 (PBE)

Data for an optimized crystal structure of KCaMn2I8.

Lattice parameters (Å, degrees): 7.5312 7.5312 10.6495 90.00 90.00 120.00
Element x y z (fractional)
K1 0.0000 0.0000 0.0000
Ca1 0.0000 0.0000 0.5000
Mn1 0.3333 0.6667 0.7506
Mn2 0.6667 0.3333 0.2494
I1 0.0066 0.6721 0.3198
I2 0.3279 0.3345 0.3198
I3 0.3333 0.6667 0.9953
I4 0.3345 0.0066 0.6802
I5 0.6655 0.9934 0.3198
I6 0.6667 0.3333 0.0047
I7 0.6721 0.6655 0.6802
I8 0.9934 0.3279 0.6802

Values from the calculation:
The raw formation energy comes out at -9.7 eV/f.u. The total energy is -3.63 eV/atom.

12.
## K2CaMnI6 (PBE)

Data for an optimized crystal structure of K2CaMnI6.

Lattice parameters (Å, degrees): 8.3271 8.3271 8.3271 60.44 60.44 60.44
Element x y z (fractional)
K1 0.2215 0.2215 0.2215
K2 0.7785 0.7785 0.7785
Ca1 0.5000 0.5000 0.5000
Mn1 0.0000 0.0000 0.0000
I1 0.1542 0.7642 0.3257
I2 0.2358 0.6743 0.8458
I3 0.3257 0.1542 0.7642
I4 0.6743 0.8458 0.2358
I5 0.7642 0.3257 0.1542
I6 0.8458 0.2358 0.6743

Values from the calculation:
The raw formation energy comes out at -11.6 eV/f.u. The total energy is -3.43 eV/atom.